Record 1
Compound: Ba2In
Source: Alexandria via LeMat-Bulk
Functional: GGA-PBE
Structure: relaxed

Lattice parameters (Å, degrees): 7.2552 7.2552 7.2552 107.57 107.57 113.34
Closest atoms and distances in Å follow each position.
Atoms (fractional coordinates):
Ba  0.1904  0.6904  0.8808  4 In 3.70
Ba  0.3096  0.1904  0.5000  4 In 3.70
Ba  0.6904  0.8096  0.5000  4 In 3.70
Ba  0.8096  0.3096  0.1192  4 In 3.70
In  0.2500  0.2500  0.0000  8 Ba 3.70, 2 In 3.99
In  0.7500  0.7500  0.0000  8 Ba 3.70, 2 In 3.99

## Properties
Formation energy, eV per atom: -0.265
SG: No. 140

---

Record 2
Compound: Ba3In2
Source: Alexandria via LeMat-Bulk
Functional: GGA-PBE
Structure: relaxed

Lattice parameters (Å, degrees): 5.9838 5.9838 7.4352 90.00 90.00 120.00
Closest atoms and distances in Å follow each position.
Atoms (fractional coordinates):
Ba  0.0000  0.0000  0.0000  6 In 3.62
Ba  0.3333  0.6667  0.3374  5 In 3.59-3.85
Ba  0.6667  0.3333  0.6626  5 In 3.59-3.85
In  0.3333  0.6667  0.8551  8 Ba 3.59-3.85
In  0.6667  0.3333  0.1449  8 Ba 3.59-3.85

## Properties
Formation energy, eV per atom: -0.294
SG: No. 164
Energy relative to the lowest polymorph listed for this composition, eV/atom: 0.042

---

Record 3
Compound: BaIn3
Source: Alexandria via LeMat-Bulk
Functional: GGA-PBE
Structure: relaxed

Lattice parameters (Å, degrees): 6.4347 6.4347 6.4347 90.00 90.00 90.00
Closest atoms and distances in Å follow each position.
Atoms (fractional coordinates):
Ba  0.0000  0.0000  0.0000  12 In 3.60
Ba  0.5000  0.5000  0.5000  12 In 3.60
In  0.0000  0.2500  0.5000  2 In 3.22, 4 Ba 3.60
In  0.0000  0.7500  0.5000  2 In 3.22, 4 Ba 3.60
In  0.2500  0.5000  0.0000  2 In 3.22, 4 Ba 3.60
In  0.5000  0.0000  0.2500  2 In 3.22, 4 Ba 3.60
In  0.5000  0.0000  0.7500  2 In 3.22, 4 Ba 3.60
In  0.7500  0.5000  0.0000  2 In 3.22, 4 Ba 3.60

## Properties
Formation energy, eV per atom: -0.145
SG: No. 223

---

Record 4
Compound: Ba6In5
Source: Alexandria via LeMat-Bulk
Functional: GGA-PBE
Structure: relaxed

Lattice parameters (Å, degrees): 10.4188 10.4188 10.4188 146.61 131.20 60.42
Closest atoms and distances in Å follow each position.
Atoms (fractional coordinates):
Ba  0.0889  0.3375  0.7514  7 In 3.63-3.70
Ba  0.2451  0.0000  0.2451  6 In 3.66-3.85
Ba  0.4138  0.6625  0.7514  7 In 3.63-3.70
Ba  0.5862  0.3375  0.2486  7 In 3.63-3.70
Ba  0.7549  0.0000  0.7549  6 In 3.66-3.85
Ba  0.9111  0.6625  0.2486  7 In 3.63-3.70
In  0.0000  0.5000  0.5000  8 Ba 3.64-3.66
In  0.1743  0.1743  0.0000  8 Ba 3.64-3.78, 2 In 4.03
In  0.3241  0.8241  0.5000  8 Ba 3.63-3.85, 2 In 4.03
In  0.6759  0.1759  0.5000  8 Ba 3.63-3.85, 2 In 4.03
In  0.8257  0.8257  0.0000  8 Ba 3.64-3.78, 2 In 4.03

## Properties
Formation energy, eV per atom: -0.352
SG: No. 71

---

Record 5
Compound: Ba3In2
Source: Alexandria via LeMat-Bulk
Functional: GGA-PBE
Structure: relaxed

Lattice parameters (Å, degrees): 12.1423 12.1423 12.1423 159.42 159.42 29.26
Closest atoms and distances in Å follow each position.
Atoms (fractional coordinates):
Ba  0.0000  0.0000  0.0000  8 In 3.75, 2 Ba 4.09
Ba  0.1739  0.1739  0.0000  4 In 3.62
Ba  0.8261  0.8261  0.0000  4 In 3.62
In  0.4083  0.4083  0.0000  8 Ba 3.62-3.75
In  0.5917  0.5917  0.0000  8 Ba 3.62-3.75

## Properties
Formation energy, eV per atom: -0.336
SG: No. 139
Energy relative to the lowest polymorph listed for this composition, eV/atom: 0.000

---

Record 6
Compound: Ba7In4
Source: Alexandria via LeMat-Bulk
Functional: GGA-PBE
Structure: relaxed

Lattice parameters (Å, degrees): 9.7951 9.7951 6.0970 90.00 90.00 120.00
Closest atoms and distances in Å follow each position.
Atoms (fractional coordinates):
Ba  0.0000  0.0000  0.0000  6 Ba 4.37, 6 In 4.90
Ba  0.1848  0.3697  0.5000  4 In 3.54-3.95
Ba  0.1848  0.8152  0.5000  4 In 3.54-3.95
Ba  0.5317  0.0634  0.0000  5 In 3.37-3.70
Ba  0.5317  0.4683  0.0000  5 In 3.37-3.70
Ba  0.6303  0.8152  0.5000  4 In 3.54-3.95
Ba  0.9366  0.4683  0.0000  5 In 3.37-3.70
In  0.3333  0.6667  0.0000  3 Ba 3.37
In  0.4519  0.2259  0.5000  2 In 3.16
In  0.7741  0.2259  0.5000  2 In 3.16
In  0.7741  0.5481  0.5000  2 In 3.16

## Properties
Formation energy, eV per atom: -0.288
SG: No. 187

---

Record 7
Compound: BaIn2
Source: Alexandria via LeMat-Bulk
Functional: GGA-PBE
Structure: relaxed

Lattice parameters (Å, degrees): 5.6108 5.6108 5.6108 60.00 60.00 60.00
Closest atoms and distances in Å follow each position.
Atoms (fractional coordinates):
Ba  0.0000  0.0000  0.0000  8 In 3.44
In  0.2500  0.2500  0.2500  4 Ba 3.44
In  0.7500  0.7500  0.7500  4 Ba 3.44

## Properties
Formation energy, eV per atom: 0.097
SG: No. 225

---

Record 8
Compound: Ba4In
Source: Alexandria via LeMat-Bulk
Functional: GGA-PBE
Structure: relaxed

Lattice parameters (Å, degrees): 11.7938 11.7938 11.7938 155.77 155.77 34.54
Closest atoms and distances in Å follow each position.
Atoms (fractional coordinates):
Ba  0.0830  0.0830  0.0000  1 Ba 3.74, 4 In 3.97
Ba  0.2500  0.7500  0.5000  4 Ba 3.50
Ba  0.7500  0.2500  0.5000  4 Ba 3.50
Ba  0.9170  0.9170  0.0000  1 Ba 3.74, 4 In 3.97
In  0.5000  0.5000  0.0000  8 Ba 3.97

## Properties
Formation energy, eV per atom: 0.184
SG: No. 139
Energy relative to the lowest polymorph listed for this composition, eV/atom: 0.300

---

Record 9
Compound: BaIn2
Source: Alexandria via LeMat-Bulk
Functional: GGA-PBE
Structure: relaxed

Lattice parameters (Å, degrees): 7.2982 7.2982 7.2982 129.67 129.67 73.94
Closest atoms and distances in Å follow each position.
Atoms (fractional coordinates):
Ba  0.2500  0.2500  0.0000  8 In 3.71
Ba  0.7500  0.7500  0.0000  8 In 3.71
In  0.1722  0.6722  0.8444  5 In 3.02-3.25
In  0.3278  0.1722  0.5000  5 In 3.02-3.25
In  0.6722  0.8278  0.5000  5 In 3.02-3.25
In  0.8278  0.3278  0.1556  5 In 3.02-3.25

## Properties
Formation energy, eV per atom: -0.221
SG: No. 140

---

Record 10
Compound: Ba2In
Source: Alexandria via LeMat-Bulk
Functional: GGA-PBE
Structure: relaxed

Lattice parameters (Å, degrees): 16.5185 16.5185 16.5185 165.08 165.08 21.15
Closest atoms and distances in Å follow each position.
Atoms (fractional coordinates):
Ba  0.3133  0.5633  0.7500  4 In 3.63, 1 Ba 4.01
Ba  0.4367  0.6867  0.7500  4 In 3.63, 1 Ba 4.01
Ba  0.5633  0.3133  0.2500  4 In 3.63, 1 Ba 4.01
Ba  0.6867  0.4367  0.2500  4 In 3.63, 1 Ba 4.01
In  0.1250  0.8750  0.2500  8 Ba 3.63
In  0.8750  0.1250  0.7500  8 Ba 3.63

## Properties
Formation energy, eV per atom: -0.262
SG: No. 141

---

Record 11
Compound: BaIn3
Source: Alexandria via LeMat-Bulk
Functional: GGA-PBE
Structure: relaxed

Lattice parameters (Å, degrees): 4.0757 4.9055 6.7946 90.00 90.00 90.00
Closest atoms and distances in Å follow each position.
Atoms (fractional coordinates):
Ba  0.0000  0.0000  0.0000  8 In 3.56-3.89
In  0.0000  0.5000  0.3997  6 In 3.22-3.24
In  0.5000  0.0000  0.4874  6 In 3.10-3.24
In  0.5000  0.5000  0.7670  4 In 3.10-3.22

## Properties
Formation energy, eV per atom: -0.230
SG: No. 25

---

Record 12
Compound: BaIn2Ir
Source: Alexandria via LeMat-Bulk
Functional: GGA-PBE
Structure: relaxed

Lattice parameters (Å, degrees): 5.5431 5.5431 4.3434 90.00 90.00 113.98
Closest atoms and distances in Å follow each position.
Atoms (fractional coordinates):
Ba  0.0000  0.0000  0.0000  2 Ir 3.02
In  0.3278  0.6722  0.5000  2 Ir 2.70
In  0.6722  0.3278  0.5000  2 Ir 2.70
Ir  0.5000  0.5000  0.0000  4 In 2.70, 2 Ba 3.02

## Properties
Formation energy, eV per atom: -0.163
SG: No. 65